1.
5
Lattice="5.917 0.000 0.000 0.000 5.917 0.000 0.000 0.000 3.735" Properties=species:S:1:pos:R:3 comment="RbHg2HAu GGA-PBE relaxed" m_tot_mub_per_cell=0.00 dos_ef_per_ev_fu=1.6 final_energy_ev_per_atom=-1.657 pbc="T T T"
Rb 2.958 2.958 1.868
Hg 2.958 0.000 0.000
Au 0.000 0.000 0.000
H 0.000 0.000 1.868
Hg 0.000 2.958 0.000

***

2.
10
Lattice="-0.981 -3.726 -1.183 7.520 0.807 -1.892 0.711 -2.905 8.571" Properties=species:S:1:pos:R:3 comment="Na3AsSe GGA-PBE relaxed" m_tot_mub_per_cell=0.00 raw_formation_energy_mev_per_atom=-631 dos_ef_per_ev_fu=1.5 final_energy_ev_per_atom=-3.049 pbc="T T T"
Na 3.879 -0.694 -0.796
Na 6.408 -3.020 -2.424
Na 4.076 -3.493 0.995
Se 1.624 -2.460 -0.232
Na 1.547 -1.162 2.617
As 3.889 -2.341 4.396
Na 2.133 -4.482 5.740
Se 6.331 -1.725 0.426
As 4.776 -4.746 4.369
Na 6.533 -2.605 3.025